DFT (PBE) results for a geometry-optimized KSeF2 structure.

The space group is I-42d (No. 122) and the conventional cell measures 4.806, 4.806 and 14.710 Å, with angles of 90.00, 90.00 and 90.00 degrees. Symmetry generates all atoms from K at (0.000, 0.000, 0.000), Se at (0.000, 0.000, 0.500) and F at (0.147, 0.250, 0.625).

As for the theoretical density: 3.050 Mg/m³. The value obtained for the uncorrected formation energy is -5.2 eV per formula unit.